Here is an optimized crystal structure of Y2MnTcB from the Alexandria database. Energies are from PBE-GGA.

a b c (Å): 5.067 5.067 4.013
angles (deg): 90.00 90.00 90.00
Fractional positions:
Y: 0.000 0.500 0.000
Y: 0.500 0.000 0.000
Mn: 0.000 0.000 0.500
Tc: 0.500 0.500 0.500
B: 0.500 0.500 0.000

- ΔE to the lowest computed polymorph: 0.00 eV per formula unit
- Formation enthalpy at 0 K: 0.1205 eV per atom

=====

Here is an optimized crystal structure of Y2MnTcB from the Alexandria database. Energies are from PBE-GGA.

a b c (Å): 5.331 5.331 4.345
angles (deg): 90.00 90.00 90.00
Fractional positions:
Y: 0.000 0.500 0.000
Y: 0.500 0.000 0.000
Mn: 0.000 0.000 0.500
Tc: 0.000 0.000 0.000
B: 0.500 0.500 0.500

- ΔE to the lowest computed polymorph: 4.95 eV per formula unit
- Formation enthalpy at 0 K: 1.1095 eV per atom

=====

Here is an optimized crystal structure of Zr2MnTcB from the Alexandria database. Energies are from PBE-GGA.

a b c (Å): 4.657 4.657 3.881
angles (deg): 90.00 90.00 90.00
Fractional positions:
Zr: 0.000 0.500 0.000
Zr: 0.500 0.000 0.000
Mn: 0.000 0.000 0.500
Tc: 0.500 0.500 0.500
B: 0.500 0.500 0.000

- Formation enthalpy at 0 K: 0.1421 eV per atom

=====

Here is an optimized crystal structure of ZrMnTc2B from the Alexandria database. Energies are from PBE-GGA.

a b c (Å): 4.255 4.255 3.931
angles (deg): 90.00 90.00 90.00
Fractional positions:
Zr: 0.000 0.000 0.000
Mn: 0.500 0.500 0.000
Tc: 0.000 0.500 0.500
Tc: 0.500 0.000 0.500
B: 0.500 0.500 0.500

- Formation enthalpy at 0 K: -0.2002 eV per atom

=====

Here is an optimized crystal structure of MnB2Te from the Alexandria database. Energies are from PBE-GGA.

a b c (Å): 6.039 6.039 6.039
angles (deg): 130.66 130.66 72.35
Fractional positions:
Mn: 0.000 0.000 0.000
Mn: 0.750 0.250 0.500
B: 0.081 0.625 0.956
B: 0.375 0.331 0.456
B: 0.669 0.125 0.044
B: 0.875 0.919 0.544
Te: 0.250 0.750 0.500
Te: 0.500 0.500 0.000

- ΔE to the lowest computed polymorph: 0.00 eV per formula unit
- E_form (uncorrected): 833.1 meV/atom

=====

Here is an optimized crystal structure of Mn2B2Te from the Alexandria database. Energies are from PBE-GGA.

a b c (Å): 4.665 4.665 4.665
angles (deg): 130.79 130.79 72.14
Fractional positions:
Mn: 0.250 0.750 0.500
Mn: 0.750 0.250 0.500
B: 0.116 0.116 0.000
B: 0.884 0.884 0.000
Te: 0.500 0.500 0.000

- ΔE to the lowest computed polymorph: 0.00 eV per formula unit
- E_form (uncorrected): 394.6 meV/atom